(1)
Ta2Al2Mo | GGA-PBE | optimized geometry

The space group is P4/mbm (No. 127) and the conventional cell measures 6.816, 6.816 and 3.549 Å, with angles of 90.00, 90.00 and 90.00 degrees. The inequivalent atoms are Ta at (0.172, 0.328, 0.000), Al at (0.129, 0.629, 0.500) and Mo at (0.000, 0.000, 0.500).

For the formation energy, the calculation gives -0.1393 eV/atom. For the total magnetization, the calculation gives 0.00 μB per formula unit. Its crystal system is tetragonal. The energy is -8.54 eV/atom.

***

(2)
TaAl2Mo | GGA-PBE | optimized geometry

The space group is C2/m (No. 12) and the conventional cell measures 5.523, 8.565 and 2.777 Å, with angles of 90.00, 102.10 and 90.00 degrees. The inequivalent atoms are Ta at (0.000, 0.000, 0.000), Al at (0.250, 0.250, 0.500) and Mo at (0.000, 0.500, 0.000).

For the formation energy, the calculation gives -0.1766 eV/atom. For the total magnetization, the calculation gives 0.00 μB per formula unit. Its crystal system is monoclinic. As for the energy above the lowest structure with this stoichiometry: 0.047 eV/atom. The energy is -7.72 eV/atom.

***

(3)
TaAl2Mo | GGA-PBE | optimized geometry

The space group is Cm (No. 8) and the conventional cell measures 9.506, 2.793 and 4.918 Å, with angles of 90.00, 98.26 and 90.00 degrees. The inequivalent atoms are Ta at (0.000, 0.000, 0.000), Al at (0.249, 0.500, 0.242), Al at (0.492, 0.000, 0.493) and Mo at (0.237, 0.000, 0.729).

For the formation energy, the calculation gives -0.1266 eV/atom. For the total magnetization, the calculation gives 0.00 μB per formula unit. Its crystal system is monoclinic. As for the energy above the lowest structure with this stoichiometry: 0.097 eV/atom. The energy is -7.67 eV/atom.

***

(4)
Ta4AlMo | GGA-PBE | optimized geometry

The space group is R-3m (No. 166, hexagonal axes) and the conventional cell measures 4.3858, 4.3858 and 21.6497 Å, with angles of 90.00, 90.00 and 120.00 degrees. The inequivalent atoms are Ta at (0.0000, 0.0000, 0.1232), Ta at (0.0000, 0.0000, 0.3753), Al at (0.0000, 0.0000, 0.5000) and Mo at (0.0000, 0.0000, 0.0000).

For the formation energy, the calculation gives 0.5465 eV/atom. For the total magnetization, the calculation gives 0.00 μB per formula unit. Its crystal system is trigonal. As for the energy above the lowest structure with this stoichiometry: 0.180 eV/atom. The energy is -9.78 eV/atom.

***

Question: Which formula does entry 1 have?
Answer: Ta2Al2Mo